Below is Ho4CdIr after structural relaxation, with properties calculated at the PBEsol level.

Cell and atoms, written as CIF:
```
data_Ho4CdIr
_chemical_formula_sum 'Ho64 Cd16 Ir16'
_symmetry_space_group_name_H-M 'F -4 3 m'
_symmetry_Int_Tables_number 216
_symmetry_space_group_name_Hall 'F -4 2 3'
_cell_length_a 13.311
_cell_length_b 13.311
_cell_length_c 13.311
_cell_angle_alpha 90.00
_cell_angle_beta 90.00
_cell_angle_gamma 90.00
loop_
_atom_site_label
_atom_site_fract_x
_atom_site_fract_y
_atom_site_fract_z
Ho1 0.000 0.000 0.188
Ho2 0.060 0.250 0.750
Ho3 0.100 0.100 0.400
Cd1 0.169 0.169 0.169
Ir1 0.108 0.108 0.608
```

Calculated total energy (eV per atom): -5.67

Below is KTa2 after structural relaxation, with properties calculated at the PBEsol level.

Cell and atoms, written as CIF:
```
data_KTa2
_chemical_formula_sum 'K1 Ta2'
_symmetry_space_group_name_H-M 'P -3 m 1'
_symmetry_Int_Tables_number 164
_symmetry_space_group_name_Hall '-P 3 2"'
_cell_length_a 2.8891
_cell_length_b 2.8891
_cell_length_c 9.0093
_cell_angle_alpha 90.00
_cell_angle_beta 90.00
_cell_angle_gamma 120.00
loop_
_atom_site_label
_atom_site_fract_x
_atom_site_fract_y
_atom_site_fract_z
K1 0.0000 0.0000 0.0000
Ta1 0.3333 0.6667 0.3591
```

Calculated total energy (eV per atom): -7.81

Calculated values (states/eV per cell) of density of states at the Fermi level for the records, taken in order: 70.339; 3.492.